Record 1
Density functional theory data (PBE-GGA) for an optimized crystal structure of Li5Mo3.

## Properties
- mass density (g/cm³) = 4.29
- E above lowest polymorph (meV/atom) = 0.0

abc: 5.011 19.703 5.397
angles: 90.00 110.42 90.00
Space group Cm (No. 8)
Symmetry-distinct sites (fractional):
Li: 0.000 0.000 0.000 [2 per cell]
Li: 0.011 0.500 0.961 [2 per cell]
Li: 0.215 0.374 0.246 [4 per cell]
Li: 0.219 0.128 0.274 [4 per cell]
Li: 0.256 0.378 0.727 [4 per cell]
Li: 0.271 0.126 0.771 [4 per cell]
Mo: 0.002 0.500 0.449 [2 per cell]
Mo: 0.447 0.255 0.018 [4 per cell]
Mo: 0.487 0.255 0.507 [4 per cell]
Mo: 0.495 0.500 0.506 [2 per cell]

---

Record 2
Density functional theory data (PBE-GGA) for an optimized crystal structure of Cu3AgTe4.

## Properties
- mass density (g/cm³) = 6.27
- E above lowest polymorph (meV/atom) = 21.6
- raw formation energy (meV/atom) = 8

abc: 8.303 7.018 7.357
angles: 90.00 90.00 90.00
Space group Pmn2_1 (No. 31)
Symmetry-distinct sites (fractional):
Cu: 0.000 0.172 0.000 [2 per cell]
Cu: 0.248 0.335 0.499 [4 per cell]
Ag: 0.000 0.838 0.502 [2 per cell]
Te: 0.000 0.195 0.344 [2 per cell]
Te: 0.000 0.832 0.877 [2 per cell]
Te: 0.236 0.340 0.843 [4 per cell]

---

Record 3
Density functional theory data (PBE-GGA) for an optimized crystal structure of NaPRh.

## Properties
- mass density (g/cm³) = 5.02
- calculated total energy (eV per atom) = -5.1357

abc: 3.102 3.102 10.793
angles: 90.00 90.00 90.00
Space group I4mm (No. 107)
Symmetry-distinct sites (fractional):
Na: 0.000 0.000 0.000 [2 per cell]
P: 0.000 0.000 0.701 [2 per cell]
Rh: 0.000 0.000 0.287 [2 per cell]

---

Record 4
Density functional theory data (PBE-GGA) for an optimized crystal structure of MnRhBr2.

## Properties
- mass density (g/cm³) = 6.39
- E above lowest polymorph (meV/atom) = 459.1
- raw formation energy (meV/atom) = 316

abc: 3.914 5.826 7.245
angles: 90.00 90.00 90.00
Space group Immm (No. 71)
Symmetry-distinct sites (fractional):
Mn: 0.000 0.000 0.000 [2 per cell]
Rh: 0.000 0.000 0.500 [2 per cell]
Br: 0.000 0.500 0.240 [4 per cell]

---

Record 5
Density functional theory data (PBE-GGA) for an optimized crystal structure of Mg2In.

## Properties
- mass density (g/cm³) = 3.88
- calculated total energy (eV per atom) = -2.0295

abc: 3.217 3.217 13.521
angles: 90.00 90.00 90.00
Space group I4/mmm (No. 139)
Symmetry-distinct sites (fractional):
Mg: 0.000 0.000 0.167 [4 per cell]
In: 0.000 0.000 0.500 [2 per cell]

---

Record 6
Density functional theory data (PBE-GGA) for an optimized crystal structure of ZrNb2W.

## Properties
- mass density (g/cm³) = 10.38
- E above lowest polymorph (meV/atom) = 21.7

abc: 6.656 6.656 6.656
angles: 90.00 90.00 90.00
Space group Fm-3m (No. 225)
Symmetry-distinct sites (fractional):
Zr: 0.000 0.000 0.000 [4 per cell]
Nb: 0.250 0.250 0.250 [8 per cell]
W: 0.000 0.000 0.500 [4 per cell]

---

Record 7
Density functional theory data (PBE-GGA) for an optimized crystal structure of ZrMn2BeSb.

## Properties
- mass density (g/cm³) = 5.16
- raw formation energy (meV/atom) = 1310

abc: 4.773 4.773 4.687
angles: 90.00 90.00 90.00
Space group P4/mmm (No. 123)
Symmetry-distinct sites (fractional):
Zr: 0.000 0.000 0.000 [1 per cell]
Mn: 0.000 0.500 0.000 [2 per cell]
Be: 0.000 0.000 0.500 [1 per cell]
Sb: 0.500 0.500 0.500 [1 per cell]

---

Record 8
Density functional theory data (PBE-GGA) for an optimized crystal structure of BeAlNiC2.

## Properties
- mass density (g/cm³) = 3.52
- calculated total energy (eV per atom) = -4.7037

abc: 3.425 3.425 4.768
angles: 90.00 90.00 90.00
Space group P4/mmm (No. 123)
Symmetry-distinct sites (fractional):
Be: 0.000 0.000 0.000 [1 per cell]
Al: 0.000 0.000 0.500 [1 per cell]
Ni: 0.500 0.500 0.500 [1 per cell]
C: 0.000 0.500 0.000 [2 per cell]

---

Record 9
Density functional theory data (PBE-GGA) for an optimized crystal structure of CeSc3Bi4.

## Properties
- mass density (g/cm³) = 7.89
- calculated total energy (eV per atom) = -5.7330

abc: 8.705 12.305 4.363
angles: 90.00 90.00 90.00
Space group Cmmm (No. 65)
Symmetry-distinct sites (fractional):
Ce: 0.000 0.000 0.000 [2 per cell]
Sc: 0.000 0.500 0.000 [2 per cell]
Sc: 0.250 0.250 0.500 [4 per cell]
Bi: 0.000 0.257 0.000 [4 per cell]
Bi: 0.236 0.500 0.500 [4 per cell]

---

Record 10
Density functional theory data (PBE-GGA) for an optimized crystal structure of Sc3TcO.

## Properties
- mass density (g/cm³) = 4.85
- E above lowest polymorph (meV/atom) = 223.2
- raw formation energy (meV/atom) = -1099

abc: 2.951 7.775 7.433
angles: 90.00 93.09 90.00
Space group P2_1/m (No. 11)
Symmetry-distinct sites (fractional):
Sc: 0.149 0.250 0.445 [2 per cell]
Sc: 0.170 0.061 0.816 [4 per cell]
Tc: 0.436 0.250 0.123 [2 per cell]
O: 0.350 0.750 0.329 [2 per cell]

---

Record 11
Density functional theory data (PBE-GGA) for an optimized crystal structure of ScBiSN2.

## Properties
- mass density (g/cm³) = 5.57
- E above lowest polymorph (meV/atom) = 515.8
- raw formation energy (meV/atom) = 853

abc: 4.228 4.228 5.241
angles: 90.00 90.00 90.00
Space group P4/mmm (No. 123)
Symmetry-distinct sites (fractional):
Sc: 0.000 0.000 0.000 [1 per cell]
Bi: 0.500 0.500 0.500 [1 per cell]
S: 0.500 0.500 0.000 [1 per cell]
N: 0.000 0.500 0.500 [2 per cell]